Entry 1:
## Tb2CrGe4Pt3 (PBE-GGA)

Data for crystalline Tb2CrGe4Pt3 at its relaxed geometry.

The calculation puts the formation enthalpy at 0 K at -0.79 eV per atom.

The structure belongs to space group P-4m2 (No. 115); the cell edges are 4.127, 4.127 and 10.923 Å and the angles 90.00°, 90.00° and 90.00°. Symmetry generates all atoms from Tb at (0.000, 0.500, 0.245), Cr at (0.500, 0.500, 0.000), Ge at (0.000, 0.000, 0.500), Ge at (0.000, 0.500, 0.865), Ge at (0.500, 0.500, 0.500), Pt at (0.000, 0.000, 0.000) and Pt at (0.000, 0.500, 0.639).


Entry 2:
## Tb2CrGe3Pt4 (PBE-GGA)

Data for crystalline Tb2CrGe3Pt4 at its relaxed geometry.

The calculation puts the formation enthalpy at 0 K at -0.78 eV per atom.

The structure belongs to space group P-4m2 (No. 115); the cell edges are 4.136, 4.136 and 10.910 Å and the angles 90.00°, 90.00° and 90.00°. Symmetry generates all atoms from Tb at (0.000, 0.500, 0.244), Cr at (0.000, 0.000, 0.500), Ge at (0.000, 0.500, 0.864), Ge at (0.500, 0.500, 0.500), Pt at (0.000, 0.000, 0.000), Pt at (0.000, 0.500, 0.641) and Pt at (0.500, 0.500, 0.000).


Entry 3:
## Cr2TcGePt (PBE-GGA)

Data for crystalline Cr2TcGePt at its relaxed geometry.

The calculation puts the formation enthalpy at 0 K at 1.37 eV per atom.

The structure belongs to space group P4/mmm (No. 123); the cell edges are 4.355, 4.355 and 4.468 Å and the angles 90.00°, 90.00° and 90.00°. Symmetry generates all atoms from Cr at (0.000, 0.500, 0.000), Tc at (0.000, 0.000, 0.500), Ge at (0.500, 0.500, 0.000) and Pt at (0.500, 0.500, 0.500).


Entry 4:
## Th2CrGe4Pt3 (PBE-GGA)

Data for crystalline Th2CrGe4Pt3 at its relaxed geometry.

The calculation puts the formation enthalpy at 0 K at -0.81 eV per atom.

The structure belongs to space group P-4m2 (No. 115); the cell edges are 4.238, 4.238 and 10.666 Å and the angles 90.00°, 90.00° and 90.00°. Symmetry generates all atoms from Th at (0.000, 0.500, 0.246), Cr at (0.500, 0.500, 0.000), Ge at (0.000, 0.000, 0.500), Ge at (0.000, 0.500, 0.866), Ge at (0.500, 0.500, 0.500), Pt at (0.000, 0.000, 0.000) and Pt at (0.000, 0.500, 0.633).


Entry 5:
## Y2CrGe3Pt4 (PBE-GGA)

Data for crystalline Y2CrGe3Pt4 at its relaxed geometry.

The calculation puts the formation enthalpy at 0 K at -0.78 eV per atom.

The structure belongs to space group P-4m2 (No. 115); the cell edges are 4.126, 4.126 and 10.940 Å and the angles 90.00°, 90.00° and 90.00°. Symmetry generates all atoms from Y at (0.000, 0.500, 0.244), Cr at (0.000, 0.000, 0.500), Ge at (0.000, 0.500, 0.863), Ge at (0.500, 0.500, 0.500), Pt at (0.000, 0.000, 0.000), Pt at (0.000, 0.500, 0.642) and Pt at (0.500, 0.500, 0.000).


Entry 6:
## RbCr3Ge (PBE-GGA)

Data for crystalline RbCr3Ge at its relaxed geometry.

The calculation puts the formation enthalpy at 0 K at 1.01 eV per atom. The calculation puts the energy above the lowest structure with this stoichiometry at 0.0000 eV/atom.

The structure belongs to space group Pm-3m (No. 221); the cell edges are 5.123, 5.123 and 5.123 Å and the angles 90.00°, 90.00° and 90.00°. Symmetry generates all atoms from Rb at (0.000, 0.000, 0.000), Cr at (0.000, 0.500, 0.500) and Ge at (0.500, 0.500, 0.500).


Entry 7:
## RbCr2Ge (PBE-GGA)

Data for crystalline RbCr2Ge at its relaxed geometry.

The calculation puts the formation enthalpy at 0 K at 0.83 eV per atom.

The structure belongs to space group I4_1/amd (No. 141, origin choice 2); the cell edges are 5.823, 5.823 and 16.364 Å and the angles 90.00°, 90.00° and 90.00°. Symmetry generates all atoms from Rb at (0.000, 0.250, 0.375), Cr at (0.000, 0.000, 0.000) and Ge at (0.000, 0.250, 0.875).


Entry 8:
## Rb2CrGe (PBE-GGA)

Data for crystalline Rb2CrGe at its relaxed geometry.

The calculation puts the formation enthalpy at 0 K at 0.44 eV per atom.

The structure belongs to space group I-42d (No. 122); the cell edges are 13.420, 13.420 and 4.847 Å and the angles 90.00°, 90.00° and 90.00°. Symmetry generates all atoms from Rb at (0.042, 0.750, 0.125), Cr at (0.000, 0.000, 0.000) and Ge at (0.000, 0.000, 0.500).


Entry 9:
## RbCr3Ge (PBE-GGA)

Data for crystalline RbCr3Ge at its relaxed geometry.

The calculation puts the formation enthalpy at 0 K at 2.47 eV per atom. The calculation puts the energy above the lowest structure with this stoichiometry at 1.4597 eV/atom.

The structure belongs to space group Pm-3m (No. 221); the cell edges are 5.445, 5.445 and 5.445 Å and the angles 90.00°, 90.00° and 90.00°. Symmetry generates all atoms from Rb at (0.000, 0.000, 0.000), Cr at (0.000, 0.000, 0.500) and Ge at (0.500, 0.500, 0.500).


Entry 10:
## RbCr2Ge2 (PBE-GGA)

Data for crystalline RbCr2Ge2 at its relaxed geometry.

The calculation puts the formation enthalpy at 0 K at 0.25 eV per atom.

The structure belongs to space group I4/mmm (No. 139); the cell edges are 3.333, 3.333 and 18.527 Å and the angles 90.00°, 90.00° and 90.00°. Symmetry generates all atoms from Rb at (0.000, 0.000, 0.000), Cr at (0.000, 0.500, 0.250) and Ge at (0.000, 0.000, 0.357).


Entry 11:
## Rb2CrGeRu (PBE-GGA)

Data for crystalline Rb2CrGeRu at its relaxed geometry.

The calculation puts the formation enthalpy at 0 K at 1.11 eV per atom.

The structure belongs to space group P4/mmm (No. 123); the cell edges are 6.710, 6.710 and 4.665 Å and the angles 90.00°, 90.00° and 90.00°. Symmetry generates all atoms from Rb at (0.000, 0.500, 0.000), Cr at (0.000, 0.000, 0.500), Ge at (0.500, 0.500, 0.000) and Ru at (0.500, 0.500, 0.500).


Entry 12:
## RbCrGe2Sb (PBE-GGA)

Data for crystalline RbCrGe2Sb at its relaxed geometry.

As for the formation energy without anion corrections: 0.86 eV per formula unit.

The structure belongs to space group P4/mmm (No. 123); the cell edges are 4.840, 4.840 and 5.183 Å and the angles 90.00°, 90.00° and 90.00°. Symmetry generates all atoms from Rb at (0.000, 0.000, 0.000), Cr at (0.500, 0.500, 0.500), Ge at (0.000, 0.500, 0.500) and Sb at (0.500, 0.500, 0.000).


Number 1: VASP energy -6.3341 eV per atom. Number 2: VASP energy -6.4698 eV per atom. Number 3: VASP energy -6.6804 eV per atom. Number 4: VASP energy -6.9130 eV per atom. Number 5: VASP energy -6.8360 eV per atom. Number 6: VASP energy -5.8837 eV per atom. Number 7: VASP energy -5.3813 eV per atom. Number 8: VASP energy -3.6002 eV per atom. Number 9: VASP energy -4.4240 eV per atom. Number 10: VASP energy -5.6384 eV per atom. Number 11: VASP energy -3.9819 eV per atom. Number 12: VASP energy -4.6179 eV per atom.